## Na2Mn2F7 (PBE with a Hubbard U)

Data for a geometry-optimized Na2Mn2F7 structure.

abc: 3.2828 11.4315 6.9974
angles: 90.00 90.00 90.00
Space group Imm2 (No. 44)
Symmetry-distinct sites (fractional):
Na (0.0000, 0.2490, 0.0000)
Mn (0.0000, 0.0000, 0.2793)
Mn (0.0000, 0.5000, 0.2557)
F (0.0000, 0.0000, 0.9321)
F (0.0000, 0.1038, 0.5397)
F (0.0000, 0.3361, 0.3085)
F (0.0000, 0.3864, 0.7221)

## Properties
The value obtained for the energy above the most stable polymorph in this dataset is 1.358 eV/f.u. For the calculated density, the calculation gives 3653 kg/m³.